! TcHCF2 PBE optimized geometry; values from VASP
! M_tot ... 1.9 μB per cell
! Crystal system ... tetragonal
! Fermi-level density of states ... 0.226 states/eV/atom
! Uncorrected energy ... -5.11 eV per atom
&SYSTEM
  ibrav = 0, nat = 5, ntyp = 4
/
ATOMIC_SPECIES
Tc 98.00 Tc.upf
H 1.01 H.upf
C 12.01 C.upf
F 19.00 F.upf
CELL_PARAMETERS angstrom
3.010 0.000 0.000
0.000 3.010 0.000
0.000 0.000 5.157
ATOMIC_POSITIONS angstrom
Tc 0.000 0.000 0.000
H 1.505 1.505 2.578
C 1.505 1.505 0.000
F 0.000 1.505 2.578
F 1.505 0.000 2.578



! HfC2F PBE optimized geometry; values from VASP
! M_tot ... 0.0 μB per cell
! Crystal system ... tetragonal
! Fermi-level density of states ... 0.342 states/eV/atom
! Excess energy over the best structure of this formula in the dataset ... 0.000 eV/atom
! Uncorrected formation energy ... 0.04 eV/atom
&SYSTEM
  ibrav = 0, nat = 8, ntyp = 3
/
ATOMIC_SPECIES
Hf 178.49 Hf.upf
C 12.01 C.upf
F 19.00 F.upf
CELL_PARAMETERS angstrom
-1.570 1.570 8.619
1.570 -1.570 8.619
1.570 1.570 -8.619
ATOMIC_POSITIONS angstrom
Hf 1.570 0.785 2.155
Hf 0.000 0.785 6.464
C 1.570 0.000 0.000
C -0.785 0.785 4.310
C 0.000 0.000 8.619
C 0.785 0.785 4.310
F 1.570 -0.785 6.464
F 0.000 2.355 2.155



! HfC2F PBE optimized geometry; values from VASP
! M_tot ... 0.0 μB per cell
! Crystal system ... cubic
! Fermi-level density of states ... 1.194 states/eV/atom
! Excess energy over the best structure of this formula in the dataset ... 0.986 eV/atom
! Uncorrected formation energy ... 1.03 eV/atom
&SYSTEM
  ibrav = 0, nat = 4, ntyp = 3
/
ATOMIC_SPECIES
Hf 178.49 Hf.upf
C 12.01 C.upf
F 19.00 F.upf
CELL_PARAMETERS angstrom
0.000 2.774 2.774
2.774 0.000 2.774
2.774 2.774 0.000
ATOMIC_POSITIONS angstrom
Hf 0.000 0.000 0.000
C 1.387 1.387 1.387
C 4.162 4.162 4.162
F 2.774 2.774 2.774



! HfCF2 PBE optimized geometry; values from VASP
! M_tot ... 1.6 μB per cell
! Crystal system ... cubic
! Fermi-level density of states ... 0.649 states/eV/atom
! Excess energy over the best structure of this formula in the dataset ... 0.000 eV/atom
! Uncorrected formation energy ... -0.56 eV/atom
&SYSTEM
  ibrav = 0, nat = 4, ntyp = 3
/
ATOMIC_SPECIES
Hf 178.49 Hf.upf
C 12.01 C.upf
F 19.00 F.upf
CELL_PARAMETERS angstrom
0.000 2.750 2.750
2.750 0.000 2.750
2.750 2.750 0.000
ATOMIC_POSITIONS angstrom
Hf 0.000 0.000 0.000
C 2.750 2.750 2.750
F 1.375 1.375 1.375
F 4.125 4.125 4.125



! HfCF2 PBE optimized geometry; values from VASP
! M_tot ... 0.8 μB per cell
! Crystal system ... trigonal
! Fermi-level density of states ... 0.418 states/eV/atom
! Excess energy over the best structure of this formula in the dataset ... 0.282 eV/atom
! Uncorrected formation energy ... -0.28 eV/atom
&SYSTEM
  ibrav = 0, nat = 4, ntyp = 3
/
ATOMIC_SPECIES
Hf 178.49 Hf.upf
C 12.01 C.upf
F 19.00 F.upf
CELL_PARAMETERS angstrom
1.421 0.820 9.260
-1.421 0.820 9.260
0.000 -1.640 9.260
ATOMIC_POSITIONS angstrom
Hf 0.000 0.000 0.000
C 0.000 0.000 13.890
F 0.000 0.000 10.774
F 0.000 0.000 17.006



! HfCF2 PBE optimized geometry; values from VASP
! M_tot ... 0.8 μB per cell
! Crystal system ... trigonal
! Fermi-level density of states ... 0.865 states/eV/atom
! Excess energy over the best structure of this formula in the dataset ... 0.569 eV/atom
! Uncorrected formation energy ... 0.01 eV/atom
&SYSTEM
  ibrav = 0, nat = 4, ntyp = 3
/
ATOMIC_SPECIES
Hf 178.49 Hf.upf
C 12.01 C.upf
F 19.00 F.upf
CELL_PARAMETERS angstrom
1.547 0.893 9.360
-1.547 0.893 9.360
0.000 -1.787 9.360
ATOMIC_POSITIONS angstrom
Hf 0.000 0.000 0.000
C 0.000 0.000 14.039
F 0.000 0.000 1.918
F 0.000 0.000 26.161



! KHfC2F PBE optimized geometry; values from VASP
! M_tot ... 0.7 μB per cell
! Crystal system ... tetragonal
! Fermi-level density of states ... 0.913 states/eV/atom
! Uncorrected formation energy ... 3.17 eV/atom
&SYSTEM
  ibrav = 0, nat = 5, ntyp = 4
/
ATOMIC_SPECIES
K 39.10 K.upf
Hf 178.49 Hf.upf
C 12.01 C.upf
F 19.00 F.upf
CELL_PARAMETERS angstrom
4.180 0.000 0.000
0.000 4.180 0.000
0.000 0.000 5.329
ATOMIC_POSITIONS angstrom
K 0.000 0.000 0.000
Hf 0.000 0.000 2.664
C 0.000 2.090 0.000
C 2.090 0.000 0.000
F 2.090 2.090 2.664